Here is an optimized crystal structure of SrTbTlZn from Alexandria. Energies are from PBE-GGA.

Output
calculated volume	28.55	Å³/atom
final energy	-2.754	eV/atom

a b c (Å): 5.446 5.446 5.446
angles (deg): 60.00 60.00 60.00
Atoms (fractional coordinates):
Sr  0.000  0.000  0.000
Tb  0.500  0.500  0.500
Tl  0.250  0.250  0.250
Zn  0.750  0.750  0.750


Here is an optimized crystal structure of Pa2TeAs from Alexandria. Energies are from PBE-GGA.

Output
calculated volume	26.45	Å³/atom
E_form (uncorrected)	-850	meV per atom

a b c (Å): 4.082 4.082 7.696
angles (deg): 105.41 105.41 60.06
Atoms (fractional coordinates):
Pa  0.241  0.241  0.222
Pa  0.759  0.759  0.778
Te  0.000  0.000  0.500
As  0.500  0.500  0.000


Here is an optimized crystal structure of AgIrNF2 from Alexandria. Energies are from PBE-GGA.

Output
calculated volume	14.50	Å³/atom
E_form (uncorrected)	-229	meV per atom

a b c (Å): 4.435 4.435 3.686
angles (deg): 90.00 90.00 90.00
Atoms (fractional coordinates):
Ag  0.000  0.000  0.000
Ir  0.500  0.500  0.500
N  0.500  0.500  0.000
F  0.000  0.500  0.500
F  0.500  0.000  0.500


Here is an optimized crystal structure of Er2TmScBi5 from Alexandria. Energies are from PBE-GGA.

Output
calculated volume	37.32	Å³/atom
final energy	-4.277	eV/atom

a b c (Å): 5.423 5.423 11.422
angles (deg): 90.00 90.00 90.00
Atoms (fractional coordinates):
Er  0.000  0.000  0.224
Er  0.000  0.000  0.776
Tm  0.500  0.500  0.000
Sc  0.500  0.500  0.500
Bi  0.000  0.000  0.500
Bi  0.000  0.500  0.000
Bi  0.500  0.000  0.000
Bi  0.500  0.500  0.260
Bi  0.500  0.500  0.740


Here is an optimized crystal structure of TiPd2Se4 from Alexandria. Energies are from PBE-GGA.

Output
calculated volume	19.62	Å³/atom
E_form (uncorrected)	-544	meV per atom

a b c (Å): 6.679 6.679 12.072
angles (deg): 90.00 90.00 149.34
Atoms (fractional coordinates):
Ti  0.120  0.880  0.750
Ti  0.880  0.120  0.250
Pd  0.369  0.631  0.575
Pd  0.369  0.631  0.925
Pd  0.631  0.369  0.075
Pd  0.631  0.369  0.425
Se  0.000  0.000  0.000
Se  0.000  0.000  0.500
Se  0.292  0.708  0.117
Se  0.292  0.708  0.383
Se  0.471  0.529  0.750
Se  0.529  0.471  0.250
Se  0.708  0.292  0.617
Se  0.708  0.292  0.883


Here is an optimized crystal structure of NdYAgHg from Alexandria. Energies are from PBE-GGA.

Output
calculated volume	26.19	Å³/atom
final energy	-3.984	eV/atom

a b c (Å): 3.722 3.722 7.563
angles (deg): 90.00 90.00 90.00
Atoms (fractional coordinates):
Nd  0.000  0.000  0.000
Y  0.000  0.000  0.490
Ag  0.500  0.500  0.263
Hg  0.500  0.500  0.733


Here is an optimized crystal structure of ErFe6Co6 from Alexandria. Energies are from PBE-GGA.

Output
calculated volume	12.53	Å³/atom
final energy	-7.628	eV/atom

a b c (Å): 6.327 6.327 6.327
angles (deg): 136.07 98.32 97.76
Atoms (fractional coordinates):
Er  0.000  0.000  0.000
Fe  0.221  0.721  0.500
Fe  0.357  0.000  0.357
Fe  0.357  0.357  0.000
Fe  0.643  0.000  0.643
Fe  0.643  0.643  0.000
Fe  0.779  0.279  0.500
Co  0.000  0.000  0.500
Co  0.000  0.500  0.000
Co  0.228  0.500  0.728
Co  0.500  0.000  0.000
Co  0.500  0.500  0.500
Co  0.772  0.500  0.272


Here is an optimized crystal structure of RbBa2I2 from Alexandria. Energies are from PBE-GGA.

Output
calculated volume	61.15	Å³/atom
E_form (uncorrected)	-951	meV per atom

a b c (Å): 9.255 9.255 9.255
angles (deg): 141.44 141.44 55.68
Atoms (fractional coordinates):
Rb  0.000  0.000  0.000
Ba  0.362  0.362  0.000
Ba  0.638  0.638  0.000
I  0.250  0.750  0.500
I  0.750  0.250  0.500